! NdMgIrRh (PBE, optimized geometry); values from VASP
! Formation enthalpy at 0 K ... -1.8 eV per formula unit
! DFT total energy ... -6.0977 eV/atom
! Space group ... F-43m, No. 216
&SYSTEM
  ibrav = 0, nat = 4, ntyp = 4
/
ATOMIC_SPECIES
Nd 144.24 Nd.upf
Mg 24.30 Mg.upf
Ir 192.22 Ir.upf
Rh 102.91 Rh.upf
CELL_PARAMETERS angstrom
0.000 3.358 3.358
3.358 0.000 3.358
3.358 3.358 0.000
ATOMIC_POSITIONS angstrom
Nd 0.000 0.000 0.000
Mg 3.358 3.358 3.358
Ir 1.679 1.679 1.679
Rh 5.038 5.038 5.038

! La3HfSb (PBE, optimized geometry); values from VASP
! DFT total energy ... -5.3433 eV/atom
! Raw formation energy ... 428 meV/atom
! Space group ... Pm-3m, No. 221
&SYSTEM
  ibrav = 0, nat = 5, ntyp = 3
/
ATOMIC_SPECIES
La 138.91 La.upf
Hf 178.49 Hf.upf
Sb 121.76 Sb.upf
CELL_PARAMETERS angstrom
5.964 0.000 0.000
0.000 5.964 0.000
0.000 0.000 5.964
ATOMIC_POSITIONS angstrom
La 0.000 0.000 2.982
La 0.000 2.982 0.000
La 2.982 0.000 0.000
Hf 2.982 2.982 2.982
Sb 0.000 0.000 0.000

! NaMgHgTe2 (PBE, optimized geometry); values from VASP
! DFT total energy ... -2.4068 eV/atom
! Raw formation energy ... -507 meV/atom
! Space group ... Pccm, No. 49
&SYSTEM
  ibrav = 0, nat = 10, ntyp = 4
/
ATOMIC_SPECIES
Na 22.99 Na.upf
Mg 24.30 Mg.upf
Hg 200.59 Hg.upf
Te 127.60 Te.upf
CELL_PARAMETERS angstrom
5.767 0.000 0.000
0.000 7.507 0.000
0.000 0.000 7.346
ATOMIC_POSITIONS angstrom
Na 0.000 0.000 1.836
Na 0.000 0.000 5.509
Mg 2.884 3.753 1.836
Mg 2.884 3.753 5.509
Hg 2.884 0.000 0.000
Hg 2.884 0.000 3.673
Te 1.084 2.476 0.000
Te 1.084 5.031 3.673
Te 4.683 2.476 3.673
Te 4.683 5.031 0.000